Density functional theory data (meta-GGA SCAN) for a PBEsol-optimized structure of Co2ReTcN.

The value obtained for the energy relative to the elements, uncorrected is 1.437 eV/atom.

The space group is P4/mmm (No. 123) and the conventional cell measures 4.473, 4.473 and 3.704 Å, with angles of 90.00, 90.00 and 90.00 degrees. The asymmetric unit holds Co at (0.000, 0.500, 0.000), Re at (0.000, 0.000, 0.000), Tc at (0.500, 0.500, 0.500) and N at (0.000, 0.000, 0.500).